# PBE-GGA Tm4AlAg3, relaxed
data_Tm4AlAg3
_space_group_name_H-M_alt 'P m m 2'
_space_group_IT_number 25
_cell_length_a 3.605
_cell_length_b 4.708
_cell_length_c 11.185
_cell_angle_alpha 90.00
_cell_angle_beta 90.00
_cell_angle_gamma 90.00
loop_
_space_group_symop_operation_xyz
'x,y,z'
'-x,-y,z'
'-x,y,z'
'x,-y,z'
loop_
_atom_site_label
_atom_site_type_symbol
_atom_site_fract_x
_atom_site_fract_y
_atom_site_fract_z
_atom_site_occupancy
Tm1 Tm 0.000 0.000 0.000 1
Tm2 Tm 0.000 0.500 0.292 1
Tm3 Tm 0.500 0.000 0.494 1
Tm4 Tm 0.500 0.500 0.800 1
Al1 Al 0.000 0.000 0.723 1
Ag1 Ag 0.000 0.500 0.572 1
Ag2 Ag 0.500 0.000 0.226 1
Ag3 Ag 0.500 0.500 0.070 1
# **Uncorrected energy**: -4.0773 eV per atom
# **Density**: 8.977 g/cm³
# **DFT formation energy**: -0.30 eV per atom

=====

# PBE-GGA TmAl3Ag3, relaxed
data_TmAl3Ag3
_space_group_name_H-M_alt 'R -3'
_space_group_IT_number 148
_space_group_name_Hall '-R 3'
_cell_length_a 8.0065
_cell_length_b 8.0065
_cell_length_c 15.7266
_cell_angle_alpha 90.00
_cell_angle_beta 90.00
_cell_angle_gamma 120.00
loop_
_atom_site_label
_atom_site_type_symbol
_atom_site_fract_x
_atom_site_fract_y
_atom_site_fract_z
_atom_site_occupancy
Tm1 Tm 0.0000 0.0000 0.1765 1
Al1 Al 0.0022 0.3400 0.7113 1
Ag1 Ag 0.0051 0.2968 0.5521 1
# **Uncorrected energy**: -3.5553 eV per atom
# **Density**: 6.544 g/cm³
# **DFT formation energy**: -0.09 eV per atom

=====

# PBE-GGA Tm5AlAg, relaxed
data_Tm5AlAg
_space_group_name_H-M_alt 'C 1 2/c 1'
_space_group_IT_number 15
_cell_length_a 8.869
_cell_length_b 8.782
_cell_length_c 9.937
_cell_angle_alpha 90.00
_cell_angle_beta 90.59
_cell_angle_gamma 90.00
loop_
_space_group_symop_operation_xyz
'x,y,z'
'-x,-y,-z'
'-x,y,-z+1/2'
'x,-y,z+1/2'
'x+1/2,y+1/2,z'
'-x+1/2,-y+1/2,-z'
'-x+1/2,y+1/2,-z+1/2'
'x+1/2,-y+1/2,z+1/2'
loop_
_atom_site_label
_atom_site_type_symbol
_atom_site_fract_x
_atom_site_fract_y
_atom_site_fract_z
_atom_site_occupancy
Tm1 Tm 0.000 0.148 0.250 1
Tm2 Tm 0.166 0.411 0.000 1
Tm3 Tm 0.170 0.216 0.673 1
Al1 Al 0.000 0.487 0.250 1
Ag1 Ag 0.000 0.000 0.000 1
# **Uncorrected energy**: -4.1649 eV per atom
# **Density**: 8.406 g/cm³
# **DFT formation energy**: -0.03 eV per atom